No. 1
Rb2MgIn2 (PBE, relaxed); ΔH_f (0 K) = 27 kJ/mol of formula units; VASP energy = -17.45 eV for the cell shown; SG = P4/mbm, No. 127; energy above the lowest structure with this stoichiometry = 0.0 kJ per mole of atoms
1.0
-0.6717 0.7644 7.9080
-7.9432 0.0975 -0.6841
-0.1281 -6.2649 0.5947
In Rb Mg
4 4 2
Cartesian
-3.0198 0.1361 0.7827
-1.4636 0.4950 4.8996
-5.5952 0.7259 6.4412
-7.1514 0.3669 2.3243
-7.0342 -2.5327 5.1140
-5.5865 -2.9286 1.2557
-3.1566 -2.4744 6.5629
-1.7089 -2.8703 2.7046
0.0000 0.0000 0.0000
-4.3075 0.4310 3.6119

=====

No. 2
RbMg2In6 (PBE, relaxed); ΔH_f (0 K) = -20 kJ/mol of formula units; VASP energy = -20.80 eV for the cell shown; SG = Immm, No. 71; energy above the lowest structure with this stoichiometry = 0.0 kJ per mole of atoms
1.0
-1.8308 -4.2560 0.5508
7.4012 -3.4531 -2.0808
-0.9157 3.9010 7.3374
In Mg Rb
6 2 1
Cartesian
2.1436 -3.1969 2.1837
4.8850 -4.4760 1.4130
0.3549 -2.7207 -0.0817
5.2155 -4.9884 -1.4483
2.5111 -0.6112 3.6238
-0.2303 0.6678 4.3945
4.2215 -3.8189 4.2847
0.4331 0.0107 1.5228
3.7006 -1.7266 -1.0404

=====

No. 3
RbMg2InRh (PBE, relaxed); ΔH_f (0 K) = -96 kJ/mol of formula units; VASP energy = -15.24 eV for the cell shown; SG = P4/mmm, No. 123
1.0
-4.9868 -1.3680 0.3337
0.8667 -2.0139 4.6951
-1.1207 4.6194 2.1883
Mg Rh Rb In
2 1 1 1
Cartesian
-2.4934 -0.6840 0.1669
0.4333 -1.0069 2.3476
0.0000 0.0000 0.0000
-2.6204 0.6188 3.6086
-0.5604 2.3097 1.0941

=====

No. 4
RbMg2InRu (PBE, relaxed); ΔH_f (0 K) = 32 kJ/mol of formula units; VASP energy = -15.84 eV for the cell shown; SG = P4/mmm, No. 123
1.0
-2.2464 3.4082 -3.2204
3.0115 -1.6884 -3.8876
-3.6289 -3.5792 -1.2566
Rb Ru Mg In
1 1 2 1
Cartesian
-1.4319 -0.9297 -4.1823
0.0000 0.0000 0.0000
-1.1232 1.7041 -1.6102
1.5058 -0.8442 -1.9438
-1.8144 -1.7896 -0.6283

=====

Q: Among the records above, which one has the lowest ΔH_f (0 K)?
A: RbMg2InRh